Entry 1:
The following is a GGA-PBE calculation of a geometry-optimized Li2Y2ErPb2 structure, from Alexandria via LeMat-Bulk.

Summary:
Crystal system = trigonal
Magnetization = 0.00 μB per atom
E_form = -0.31 eV per atom
Symmetry = No. 166

```
Li2Y2ErPb2
1.0
4.825 0.000 0.000
2.412 4.178 0.000
2.412 1.393 8.918
Y Li Pb Er
2 2 2 1
Cartesian
2.412 1.393 5.488
7.237 4.178 3.431
4.825 2.786 1.787
4.825 2.786 7.131
7.237 4.178 7.101
2.412 1.393 1.817
0.000 0.000 0.000
```



Entry 2:
The following is a GGA-PBE calculation of a geometry-optimized KScAuSe2 structure, from Alexandria via LeMat-Bulk.

Summary:
Crystal system = monoclinic
Magnetization = 0.00 μB per atom
ΔE_f (raw) = -1.038 eV/atom
Symmetry = No. 13

```
KScAuSe2
1.0
-0.532 4.175 2.661
-5.300 2.369 -4.777
-4.331 -3.634 4.835
Sc Au Se K
2 2 4 2
Cartesian
-3.517 -0.618 4.970
-1.346 1.158 2.526
0.000 0.000 0.000
-2.165 -1.817 2.417
-1.648 1.963 -0.021
-3.959 1.284 3.122
-8.515 0.947 2.739
-6.205 1.626 -0.404
-4.196 3.911 1.137
-5.967 -1.001 1.581
```



Q: Number 1 is which compound?
A: Li2Y2ErPb2



Q: What is the magnetization in the first record?
A: 0.00 μB per atom